*a*
A plane-wave DFT calculation with PBE-GGA was carried out for a geometry-optimized ErZrPt structure.

total magnetization = 0.0 μB per cell

Cell lengths 7.101, 7.101, 4.676 Å; angles 90.00, 90.00, 120.00 degrees
Atoms (fractional coordinates):
1 Er 0.000 0.587 0.000
2 Er 0.413 0.413 0.000
3 Er 0.587 0.000 0.000
4 Zr 0.000 0.255 0.500
5 Zr 0.255 0.000 0.500
6 Zr 0.745 0.745 0.500
7 Pt 0.000 0.000 0.000
8 Pt 0.333 0.667 0.500
9 Pt 0.667 0.333 0.500



*b*
A plane-wave DFT calculation with PBE-GGA was carried out for a geometry-optimized ErZrPt structure.

total magnetization = 0.0 μB per cell

Cell lengths 6.029, 6.029, 6.029 Å; angles 146.73, 146.73, 47.76 degrees
Atoms (fractional coordinates):
1 Er 0.000 0.000 0.000
2 Zr 0.300 0.300 0.000
3 Pt 0.664 0.664 0.000



It is *a* that is the most stable of them.



*a*
A plane-wave DFT calculation with PBE-GGA was carried out for a geometry-optimized ErPu3 structure.

total magnetization = 35.9 μB per cell

Cell lengths 6.859, 6.859, 5.491 Å; angles 90.00, 90.00, 120.00 degrees
Atoms (fractional coordinates):
1 Er 0.333 0.667 0.250
2 Er 0.667 0.333 0.750
3 Pu 0.164 0.327 0.750
4 Pu 0.164 0.836 0.750
5 Pu 0.327 0.164 0.250
6 Pu 0.673 0.836 0.750
7 Pu 0.836 0.164 0.250
8 Pu 0.836 0.673 0.250



*b*
A plane-wave DFT calculation with PBE-GGA was carried out for a geometry-optimized ErPu3 structure.

total magnetization = 5.6 μB per cell

Cell lengths 6.373, 6.373, 6.373 Å; angles 150.29, 60.91, 128.15 degrees
Atoms (fractional coordinates):
1 Er 0.000 0.000 0.000
2 Pu 0.269 0.491 0.779
3 Pu 0.502 0.002 0.500
4 Pu 0.712 0.491 0.221



*c*
A plane-wave DFT calculation with PBE-GGA was carried out for a geometry-optimized ErPu3 structure.

total magnetization = 5.4 μB per cell

Cell lengths 4.388, 4.388, 5.043 Å; angles 90.00, 90.00, 90.00 degrees
Atoms (fractional coordinates):
1 Er 0.000 0.000 0.000
2 Pu 0.000 0.500 0.498
3 Pu 0.500 0.000 0.498
4 Pu 0.500 0.500 0.774



*d*
A plane-wave DFT calculation with PBE-GGA was carried out for a geometry-optimized ErPu3 structure.

total magnetization = 17.9 μB per cell

Cell lengths 5.899, 5.899, 5.899 Å; angles 131.82, 131.82, 70.51 degrees
Atoms (fractional coordinates):
1 Er 0.000 0.000 0.000
2 Pu 0.250 0.750 0.500
3 Pu 0.500 0.500 0.000
4 Pu 0.750 0.250 0.500



It is *b* that is the most stable of them.



*a*
A plane-wave DFT calculation with PBE-GGA was carried out for a geometry-optimized Er3Pu structure.

total magnetization = 6.8 μB per cell

Cell lengths 6.621, 6.621, 6.621 Å; angles 149.55, 63.98, 125.21 degrees
Atoms (fractional coordinates):
1 Er 0.000 0.000 0.000
2 Er 0.088 0.336 0.752
3 Er 0.583 0.336 0.248
4 Pu 0.506 0.006 0.500



*b*
A plane-wave DFT calculation with PBE-GGA was carried out for a geometry-optimized Er3Pu structure.

total magnetization = 6.9 μB per cell

Cell lengths 6.016, 6.016, 6.016 Å; angles 131.93, 131.93, 70.33 degrees
Atoms (fractional coordinates):
1 Er 0.000 0.000 0.000
2 Er 0.250 0.750 0.500
3 Er 0.750 0.250 0.500
4 Pu 0.500 0.500 0.000



It is *a* that is the most stable of them.



*a*
A plane-wave DFT calculation with PBE-GGA was carried out for a geometry-optimized Er3Pu structure.

total magnetization = 0.0 μB per cell

Cell lengths 7.907, 7.907, 3.615 Å; angles 90.00, 90.00, 89.83 degrees
Atoms (fractional coordinates):
1 Er 0.140 0.394 0.750
2 Er 0.147 0.853 0.750
3 Er 0.394 0.140 0.250
4 Er 0.606 0.860 0.750
5 Er 0.853 0.147 0.250
6 Er 0.860 0.606 0.250
7 Pu 0.436 0.564 0.250
8 Pu 0.564 0.436 0.750



*b*
A plane-wave DFT calculation with PBE-GGA was carried out for a geometry-optimized Er3Pu structure.

total magnetization = 6.7 μB per cell

Cell lengths 3.461, 5.624, 6.105 Å; angles 90.00, 90.00, 90.00 degrees
Atoms (fractional coordinates):
1 Er 0.000 0.000 0.000
2 Er 0.000 0.500 0.329
3 Er 0.500 0.500 0.822
4 Pu 0.500 0.000 0.499



It is *b* that is the most stable of them.



*a*
A plane-wave DFT calculation with PBE-GGA was carried out for a geometry-optimized Er4Pu structure.

total magnetization = 6.6 μB per cell

Cell lengths 5.476, 5.476, 5.476 Å; angles 90.00, 90.00, 90.00 degrees
Atoms (fractional coordinates):
1 Er 0.000 0.000 0.000
2 Er 0.000 0.500 0.500
3 Er 0.500 0.000 0.500
4 Er 0.500 0.500 0.000
5 Pu 0.500 0.500 0.500



*b*
A plane-wave DFT calculation with PBE-GGA was carried out for a geometry-optimized Er4Pu structure.

total magnetization = 5.8 μB per cell

Cell lengths 3.497, 3.497, 14.216 Å; angles 97.10, 97.10, 60.04 degrees
Atoms (fractional coordinates):
1 Er 0.101 0.101 0.303
2 Er 0.367 0.367 0.102
3 Er 0.633 0.633 0.898
4 Er 0.899 0.899 0.697
5 Pu 0.500 0.500 0.500



It is *b* that is the most stable of them.



*a*
A plane-wave DFT calculation with PBE-GGA was carried out for a geometry-optimized Er2PuRh structure.

total magnetization = 6.5 μB per cell

Cell lengths 10.501, 10.501, 10.501 Å; angles 19.57, 19.57, 19.57 degrees
Atoms (fractional coordinates):
1 Er 0.109 0.109 0.109
2 Er 0.891 0.891 0.891
3 Pu 0.000 0.000 0.000
4 Rh 0.500 0.500 0.500



*b*
A plane-wave DFT calculation with PBE-GGA was carried out for a geometry-optimized Er2PuRh structure.

total magnetization = 6.6 μB per cell

Cell lengths 3.395, 3.395, 8.566 Å; angles 90.00, 90.00, 90.00 degrees
Atoms (fractional coordinates):
1 Er 0.000 0.000 0.195
2 Er 0.000 0.000 0.805
3 Pu 0.500 0.500 0.500
4 Rh 0.500 0.500 0.000



It is *b* that is the most stable of them.



*a*
A plane-wave DFT calculation with PBE-GGA was carried out for a geometry-optimized ErPuTlRh structure.

total magnetization = 5.5 μB per cell

Cell lengths 3.370, 3.370, 8.300 Å; angles 90.00, 90.00, 90.00 degrees
Atoms (fractional coordinates):
1 Er 0.000 0.000 0.000
2 Pu 0.000 0.000 0.580
3 Tl 0.500 0.500 0.287
4 Rh 0.500 0.500 0.805



*b*
A plane-wave DFT calculation with PBE-GGA was carried out for a geometry-optimized ErPuTlRh structure.

total magnetization = 5.4 μB per cell

Cell lengths 5.113, 5.113, 5.113 Å; angles 60.00, 60.00, 60.00 degrees
Atoms (fractional coordinates):
1 Er 0.000 0.000 0.000
2 Pu 0.500 0.500 0.500
3 Tl 0.250 0.250 0.250
4 Rh 0.750 0.750 0.750



It is *a* that is the most stable of them.



*a*
A plane-wave DFT calculation with PBE-GGA was carried out for a geometry-optimized Er2PuRu structure.

total magnetization = 12.1 μB per cell

Cell lengths 6.205, 6.205, 9.195 Å; angles 90.00, 90.00, 144.92 degrees
Atoms (fractional coordinates):
1 Er 0.142 0.858 0.567
2 Er 0.142 0.858 0.933
3 Er 0.858 0.142 0.067
4 Er 0.858 0.142 0.433
5 Pu 0.424 0.576 0.750
6 Pu 0.576 0.424 0.250
7 Ru 0.233 0.767 0.250
8 Ru 0.767 0.233 0.750



*b*
A plane-wave DFT calculation with PBE-GGA was carried out for a geometry-optimized Er2PuRu structure.

total magnetization = 23.0 μB per cell

Cell lengths 7.116, 9.290, 6.211 Å; angles 90.00, 90.00, 90.00 degrees
Atoms (fractional coordinates):
1 Er 0.175 0.064 0.171
2 Er 0.175 0.436 0.171
3 Er 0.325 0.564 0.671
4 Er 0.325 0.936 0.671
5 Er 0.675 0.064 0.329
6 Er 0.675 0.436 0.329
7 Er 0.825 0.564 0.829
8 Er 0.825 0.936 0.829
9 Pu 0.045 0.250 0.650
10 Pu 0.455 0.750 0.150
11 Pu 0.545 0.250 0.850
12 Pu 0.955 0.750 0.350
13 Ru 0.130 0.750 0.985
14 Ru 0.370 0.250 0.485
15 Ru 0.630 0.750 0.515
16 Ru 0.870 0.250 0.015



It is *b* that is the most stable of them.



*a*
A plane-wave DFT calculation with PBE-GGA was carried out for a geometry-optimized Er2PuRu structure.

total magnetization = 6.8 μB per cell

Cell lengths 3.368, 3.368, 8.724 Å; angles 90.00, 90.00, 90.00 degrees
Atoms (fractional coordinates):
1 Er 0.000 0.000 0.189
2 Er 0.000 0.000 0.811
3 Pu 0.500 0.500 0.500
4 Ru 0.500 0.500 0.000



*b*
A plane-wave DFT calculation with PBE-GGA was carried out for a geometry-optimized Er2PuRu structure.

total magnetization = 6.3 μB per cell

Cell lengths 10.739, 10.739, 10.739 Å; angles 18.16, 18.16, 18.16 degrees
Atoms (fractional coordinates):
1 Er 0.105 0.105 0.105
2 Er 0.895 0.895 0.895
3 Pu 0.000 0.000 0.000
4 Ru 0.500 0.500 0.500



It is *a* that is the most stable of them.



*a*
A plane-wave DFT calculation with PBE-GGA was carried out for a geometry-optimized Er2PuRu2 structure.

total magnetization = 8.3 μB per cell

Cell lengths 5.782, 5.782, 7.771 Å; angles 100.35, 100.35, 59.44 degrees
Atoms (fractional coordinates):
1 Er 0.019 0.285 0.151
2 Er 0.285 0.019 0.651
3 Er 0.715 0.981 0.349
4 Er 0.981 0.715 0.849
5 Pu 0.364 0.636 0.250
6 Pu 0.636 0.364 0.750
7 Ru 0.227 0.508 0.492
8 Ru 0.492 0.773 0.008
9 Ru 0.508 0.227 0.992
10 Ru 0.773 0.492 0.508



*b*
A plane-wave DFT calculation with PBE-GGA was carried out for a geometry-optimized Er2PuRu2 structure.

total magnetization = 18.5 μB per cell

Cell lengths 8.438, 8.247, 6.214 Å; angles 90.00, 90.09, 90.00 degrees
Atoms (fractional coordinates):
1 Er 0.125 0.249 0.001
2 Er 0.125 0.251 0.501
3 Er 0.219 0.630 0.751
4 Er 0.219 0.870 0.251
5 Er 0.781 0.130 0.749
6 Er 0.781 0.370 0.249
7 Er 0.875 0.749 0.499
8 Er 0.875 0.751 0.999
9 Pu 0.395 0.509 0.250
10 Pu 0.395 0.991 0.750
11 Pu 0.605 0.009 0.250
12 Pu 0.605 0.491 0.750
13 Ru 0.081 0.544 0.250
14 Ru 0.081 0.956 0.750
15 Ru 0.476 0.250 0.499
16 Ru 0.476 0.250 0.999
17 Ru 0.524 0.750 0.001
18 Ru 0.524 0.750 0.501
19 Ru 0.919 0.044 0.250
20 Ru 0.919 0.456 0.750



It is *a* that is the most stable of them.



*a*
A plane-wave DFT calculation with PBE-GGA was carried out for a geometry-optimized Er2PuRu3 structure.

total magnetization = 7.3 μB per cell

Cell lengths 7.531, 7.531, 6.771 Å; angles 90.00, 90.00, 143.16 degrees
Atoms (fractional coordinates):
1 Er 0.000 0.000 0.000
2 Er 0.000 0.000 0.500
3 Er 0.334 0.666 0.000
4 Er 0.666 0.334 0.000
5 Pu 0.336 0.664 0.500
6 Pu 0.664 0.336 0.500
7 Ru 0.171 0.829 0.265
8 Ru 0.171 0.829 0.735
9 Ru 0.500 0.500 0.259
10 Ru 0.500 0.500 0.741
11 Ru 0.829 0.171 0.265
12 Ru 0.829 0.171 0.735



*b*
A plane-wave DFT calculation with PBE-GGA was carried out for a geometry-optimized Er2PuRu3 structure.

total magnetization = 3.2 μB per cell

Cell lengths 7.535, 7.535, 7.535 Å; angles 154.88, 136.99, 50.46 degrees
Atoms (fractional coordinates):
1 Er 0.168 0.168 0.000
2 Er 0.832 0.832 0.000
3 Pu 0.500 0.500 0.000
4 Ru 0.000 0.500 0.500
5 Ru 0.348 0.848 0.500
6 Ru 0.652 0.152 0.500



It is *a* that is the most stable of them.



*a*
A plane-wave DFT calculation with PBE-GGA was carried out for a geometry-optimized Er2Pu2Ru3 structure.

total magnetization = 2.3 μB per cell

Cell lengths 5.502, 5.502, 6.532 Å; angles 116.29, 116.29, 52.81 degrees
Atoms (fractional coordinates):
1 Er 0.163 0.163 0.299
2 Er 0.837 0.837 0.701
3 Pu 0.407 0.407 0.056
4 Pu 0.593 0.593 0.944
5 Ru 0.142 0.142 0.734
6 Ru 0.500 0.500 0.500
7 Ru 0.858 0.858 0.266



*b*
A plane-wave DFT calculation with PBE-GGA was carried out for a geometry-optimized Er2Pu2Ru3 structure.

total magnetization = 8.6 μB per cell

Cell lengths 8.593, 8.593, 8.593 Å; angles 31.21, 31.21, 31.21 degrees
Atoms (fractional coordinates):
1 Er 0.126 0.126 0.126
2 Er 0.874 0.874 0.874
3 Pu 0.378 0.378 0.378
4 Pu 0.622 0.622 0.622
5 Ru 0.000 0.000 0.000
6 Ru 0.256 0.256 0.256
7 Ru 0.744 0.744 0.744



It is *b* that is the most stable of them.